# VOF3 | Alexandria via LeMat-Bulk | PBE+U | optimized geometry
# - N(E_F) (states/eV/f.u.) = 8.65
# - total magnetic moment (μB/cell) = 3.89
# - symmetry = Pm-3m (221)
# - final energy (eV per cell) = -25.54
data_VOF3
_chemical_formula_sum 'V1 O1 F3'
_space_group_name_H-M_alt 'P 1'
_space_group_IT_number 1
_space_group_name_Hall 'P 1'
_cell_length_a 3.9429
_cell_length_b 3.9429
_cell_length_c 3.9429
_cell_angle_alpha 90.00
_cell_angle_beta 90.00
_cell_angle_gamma 90.00
loop_
_atom_site_label
_atom_site_fract_x
_atom_site_fract_y
_atom_site_fract_z
F1 0.0000 0.5000 0.0000
O1 0.5000 0.5000 0.5000
F2 0.5000 0.0000 0.0000
F3 0.0000 0.0000 0.5000
V1 0.0000 0.0000 0.0000

=====

# V3O5F | Alexandria via LeMat-Bulk | PBE+U | optimized geometry
# - N(E_F) (states/eV/f.u.) = 1.51
# - relative energy among the computed polymorphs (meV/atom) = 39
# - total magnetic moment (μB/cell) = 8.00
# - symmetry = Cmmm (65)
# - final energy (eV per cell) = -136.01
data_V3O5F
_chemical_formula_sum 'V6 O10 F2'
_space_group_name_H-M_alt 'P 1'
_space_group_IT_number 1
_space_group_name_Hall 'P 1'
_cell_length_a 10.5312
_cell_length_b 10.5312
_cell_length_c 2.9948
_cell_angle_alpha 90.00
_cell_angle_beta 90.00
_cell_angle_gamma 144.54
loop_
_atom_site_label
_atom_site_fract_x
_atom_site_fract_y
_atom_site_fract_z
O1 0.3750 0.0438 0.0000
V1 0.3220 0.6780 0.0000
V2 0.5000 0.5000 0.5000
V3 0.0000 0.0000 0.0000
F1 0.3958 0.6042 0.5000
O2 0.6964 0.6964 0.0000
V4 0.1610 0.8390 0.5000
F2 0.6042 0.3958 0.5000
V5 0.8390 0.1610 0.5000
O3 0.9562 0.6250 0.0000
O4 0.0438 0.3750 0.0000
O5 0.9355 0.0645 0.5000
O6 0.6250 0.9562 0.0000
V6 0.6780 0.3220 0.0000
O7 0.3036 0.3036 0.0000
O8 0.7366 0.2634 0.5000
O9 0.0645 0.9355 0.5000
O10 0.2634 0.7366 0.5000

=====

# V2O2F | Alexandria via LeMat-Bulk | PBE+U | optimized geometry
# - N(E_F) (states/eV/f.u.) = 1.62
# - total magnetic moment (μB/cell) = 5.00
# - symmetry = I4/mmm (139)
# - final energy (eV per cell) = -37.13
data_V2O2F
_chemical_formula_sum 'V2 O2 F1'
_space_group_name_H-M_alt 'P 1'
_space_group_IT_number 1
_space_group_name_Hall 'P 1'
_cell_length_a 2.9787
_cell_length_b 2.9787
_cell_length_c 6.7936
_cell_angle_alpha 102.66
_cell_angle_beta 102.66
_cell_angle_gamma 90.00
loop_
_atom_site_label
_atom_site_fract_x
_atom_site_fract_y
_atom_site_fract_z
V1 0.8445 0.8445 0.6891
O1 0.6757 0.6757 0.3514
O2 0.3243 0.3243 0.6486
F1 0.0000 0.0000 0.0000
V2 0.1555 0.1555 0.3109

=====

# V3O2F6 | Alexandria via LeMat-Bulk | PBE+U | optimized geometry
# - relative energy among the computed polymorphs (meV/atom) = 39
# - total magnetic moment (μB/cell) = 10.00
# - symmetry = P-1 (2)
# - final energy (eV per cell) = -143.28
data_V3O2F6
_chemical_formula_sum 'V6 O4 F12'
_space_group_name_H-M_alt 'P 1'
_space_group_IT_number 1
_space_group_name_Hall 'P 1'
_cell_length_a 5.1913
_cell_length_b 7.1926
_cell_length_c 7.6471
_cell_angle_alpha 101.29
_cell_angle_beta 91.96
_cell_angle_gamma 90.75
loop_
_atom_site_label
_atom_site_fract_x
_atom_site_fract_y
_atom_site_fract_z
F1 0.5850 0.7836 0.4400
V1 0.2557 0.6764 0.3142
O1 0.8522 0.0592 0.6687
V2 0.2267 0.1710 0.3259
V3 0.7057 0.3409 0.1786
F2 0.5343 0.0925 0.1892
F3 0.0960 0.6872 0.5682
F4 0.4657 0.9075 0.8108
V4 0.7443 0.3236 0.6858
F5 0.0773 0.4272 0.8046
F6 0.6001 0.3244 0.9278
F7 0.9227 0.5728 0.1954
F8 0.4150 0.2164 0.5600
O2 0.1478 0.9408 0.3313
V5 0.2943 0.6591 0.8214
V6 0.7733 0.8290 0.6741
F9 0.3999 0.6756 0.0722
F10 0.0169 0.1884 0.1123
F11 0.9831 0.8116 0.8877
F12 0.9040 0.3128 0.4318
O3 0.6095 0.5782 0.6989
O4 0.3905 0.4218 0.3011

=====

# VOF3 | Alexandria via LeMat-Bulk | PBE+U | optimized geometry
# - N(E_F) (states/eV/f.u.) = 0.00
# - total magnetic moment (μB/cell) = 0.00
# - symmetry = P4_1 (76)
# - final energy (eV per cell) = -117.45
data_VOF3
_chemical_formula_sum 'V4 O4 F12'
_space_group_name_H-M_alt 'P 1'
_space_group_IT_number 1
_space_group_name_Hall 'P 1'
_cell_length_a 6.0412
_cell_length_b 6.0412
_cell_length_c 7.9884
_cell_angle_alpha 90.00
_cell_angle_beta 90.00
_cell_angle_gamma 90.00
loop_
_atom_site_label
_atom_site_fract_x
_atom_site_fract_y
_atom_site_fract_z
F1 0.4508 0.2127 0.7205
F2 0.7915 0.0164 0.0169
V1 0.2692 0.9962 0.7707
F3 0.5492 0.7873 0.2205
V2 0.7308 0.0038 0.2707
F4 0.0164 0.2085 0.7669
O1 0.0300 0.7713 0.7291
O2 0.7713 0.9700 0.4791
F5 0.4631 0.7810 0.7651
O3 0.2287 0.0300 0.9791
F6 0.5369 0.2190 0.2651
F7 0.2127 0.5492 0.4705
V3 0.0038 0.2692 0.0207
O4 0.9700 0.2287 0.2291
V4 0.9962 0.7308 0.5207
F8 0.7873 0.4508 0.9705
F9 0.2085 0.9836 0.5169
F10 0.7810 0.5369 0.5151
F11 0.2190 0.4631 0.0151
F12 0.9836 0.7915 0.2669

=====

# V4O5F7 | Alexandria via LeMat-Bulk | PBE+U | optimized geometry
# - relative energy among the computed polymorphs (meV/atom) = 179
# - total magnetic moment (μB/cell) = 5.00
# - symmetry = P1 (1)
# - final energy (eV per cell) = -102.48
data_V4O5F7
_chemical_formula_sum 'V4 O5 F7'
_space_group_name_H-M_alt 'P 1'
_space_group_IT_number 1
_space_group_name_Hall 'P 1'
_cell_length_a 5.3648
_cell_length_b 5.6465
_cell_length_c 8.5504
_cell_angle_alpha 97.47
_cell_angle_beta 93.64
_cell_angle_gamma 107.77
loop_
_atom_site_label
_atom_site_fract_x
_atom_site_fract_y
_atom_site_fract_z
V1 0.9513 0.8580 0.6480
F1 0.9491 0.4860 0.1429
F2 0.2458 0.7451 0.6103
V2 0.7130 0.6783 0.1897
F3 0.1827 0.4921 0.8605
O1 0.1840 0.0108 0.8515
F4 0.7511 0.1455 0.8940
F5 0.9670 0.1510 0.5838
F6 0.5098 0.8411 0.0754
F7 0.0025 0.9733 0.1468
O2 0.4204 0.3793 0.1178
O3 0.7847 0.6808 0.4216
O4 0.6939 0.6932 0.7412
V3 0.4317 0.8211 0.8407
V4 0.1140 0.2460 0.0094
O5 0.5989 0.7984 0.3661

=====

# V4OF11 | Alexandria via LeMat-Bulk | PBE+U | optimized geometry
# - relative energy among the computed polymorphs (meV/atom) = 33
# - total magnetic moment (μB/cell) = 5.91
# - symmetry = P-1 (2)
# - final energy (eV per cell) = -198.42
data_V4OF11
_chemical_formula_sum 'V8 O2 F22'
_space_group_name_H-M_alt 'P 1'
_space_group_IT_number 1
_space_group_name_Hall 'P 1'
_cell_length_a 5.2947
_cell_length_b 5.4765
_cell_length_c 17.5783
_cell_angle_alpha 89.37
_cell_angle_beta 98.22
_cell_angle_gamma 119.08
loop_
_atom_site_label
_atom_site_fract_x
_atom_site_fract_y
_atom_site_fract_z
F1 0.9172 0.6791 0.5833
V1 0.7486 0.3795 0.1254
F2 0.4222 0.7251 0.5401
O1 0.4202 0.4130 0.8299
F3 0.0742 0.8379 0.9133
F4 0.4735 0.4583 0.3150
F5 0.9194 0.9761 0.2866
F6 0.0828 0.3209 0.4167
V2 0.7464 0.8780 0.6277
F7 0.0777 0.5399 0.2114
F8 0.9682 0.2023 0.5674
F9 0.9258 0.1621 0.0867
F10 0.4266 0.2156 0.0379
F11 0.5222 0.0572 0.1844
V3 0.2514 0.6205 0.8746
V4 0.2536 0.1220 0.3723
F12 0.5265 0.5417 0.6850
V5 0.0000 0.0000 0.0000
V6 0.5081 0.7377 0.2409
F13 0.0318 0.7977 0.4326
F14 0.0254 0.3142 0.9372
F15 0.5786 0.0783 0.6734
F16 0.4214 0.9217 0.3266
V7 0.0000 0.5000 0.5000
F17 0.4778 0.9428 0.8156
F18 0.5778 0.2749 0.4599
F19 0.9746 0.6858 0.0628
F20 0.9223 0.4601 0.7886
F21 0.5734 0.7844 0.9621
O2 0.5798 0.5870 0.1701
V8 0.4919 0.2623 0.7591
F22 0.0806 0.0239 0.7134

=====

# V3OF11 | Alexandria via LeMat-Bulk | PBE+U | optimized geometry
# - relative energy among the computed polymorphs (meV/atom) = 39
# - total magnetic moment (μB/cell) = 3.96
# - symmetry = P-1 (2)
# - final energy (eV per cell) = -170.79
data_V3OF11
_chemical_formula_sum 'V6 O2 F22'
_space_group_name_H-M_alt 'P 1'
_space_group_IT_number 1
_space_group_name_Hall 'P 1'
_cell_length_a 5.1825
_cell_length_b 5.3462
_cell_length_c 15.3315
_cell_angle_alpha 79.72
_cell_angle_beta 89.63
_cell_angle_gamma 88.56
loop_
_atom_site_label
_atom_site_fract_x
_atom_site_fract_y
_atom_site_fract_z
F1 0.9173 0.8975 0.1135
F2 0.6865 0.1532 0.3102
V1 0.4977 0.8338 0.3336
F3 0.8101 0.6574 0.3027
F4 0.3086 0.5147 0.3565
V2 0.5023 0.1662 0.6664
V3 0.5000 0.5000 0.0000
O1 0.2498 0.7456 0.0081
F5 0.0981 0.6896 0.5548
O2 0.7502 0.2544 0.9919
F6 0.3135 0.8468 0.6898
F7 0.0827 0.1025 0.8865
F8 0.9078 0.6476 0.7783
F9 0.6000 0.1150 0.7783
F10 0.1899 0.3426 0.6973
F11 0.0922 0.3524 0.2217
F12 0.5810 0.4862 0.1136
F13 0.8140 0.9902 0.6350
F14 0.6914 0.4853 0.6435
V4 0.0024 0.6664 0.6666
F15 0.9019 0.3104 0.4452
F16 0.2501 0.2320 0.0347
V5 0.9976 0.3336 0.3334
V6 0.0000 0.0000 0.0000
F17 0.7499 0.7680 0.9653
F18 0.4190 0.5138 0.8864
F19 0.4000 0.8850 0.2217
F20 0.5973 0.7858 0.4454
F21 0.1860 0.0098 0.3650
F22 0.4027 0.2142 0.5546